The following is a PBE-GGA calculation of a geometry-optimized Ho3UCl2O6 structure, from Alexandria via LeMat-Bulk.

Results
E_form (uncorrected) (meV per atom): -3018
Calculated total energy (eV/cell): -189.36
DOS at the Fermi energy (states/eV per cell): 0.35

abc: 12.0541 6.7307 5.4160
angles: 90.00 101.97 90.00
Closest atoms and distances in Å follow each position.
Space group C2/m (No. 12)
Inequivalent atoms, fractional coordinates:
Ho: 0.0000 0.0000 0.0000 [2 per cell]  4 O 2.33
Ho: 0.2500 0.2500 0.5000 [4 per cell]  4 O 2.18-2.27
U: 0.0000 0.5000 0.5000 [2 per cell]  6 O 2.12-2.26
Cl: 0.1954 0.0000 0.8351 [4 per cell]  3 Ho 2.66-2.69, 1 O 2.83
O: 0.0664 0.2509 0.2909 [8 per cell]  1 U 2.26, 2 Ho 2.27-2.33
O: 0.1758 0.5000 0.6647 [4 per cell]  1 U 2.12, 2 Ho 2.18